Compound: TaTiPd2
Source: Alexandria
Functional: PBE-GGA
Structure: optimized geometry

POSCAR file:
```
TaTiPd2
1.0
2.826 0.000 0.000
0.000 2.826 0.000
0.000 0.000 8.021
Ti Ta Pd
1 1 2
Direct
0.500 0.500 0.000 Ti
0.500 0.500 0.500 Ta
0.000 0.000 0.244 Pd
0.000 0.000 0.756 Pd
```

Results
Symmetry: No. 123
Electronic total energy, eV/atom: -7.939
Density of states at the Fermi level, states/eV/cell: 4.64
E_form, eV per atom: -0.406